[1]
# Rb3FeSb PBE optimized geometry
# Magnetic moment   4.0 μB per cell
# Energy relative to the elements, uncorrected   0.619 eV/atom
# E_tot   -0.1822 Ry per atom
# Distance to the lowest polymorph of the same formula   0.0 meV per atom
# Space-group type   Pm-3m, No. 221
# Volume   70.42 Å³ per atom
data_Rb3FeSb
_symmetry_space_group_name_H-M 'P 1'
_symmetry_Int_Tables_number 1
_cell_length_a 7.0615
_cell_length_b 7.0615
_cell_length_c 7.0615
_cell_angle_alpha 90.00
_cell_angle_beta 90.00
_cell_angle_gamma 90.00
loop_
_symmetry_equiv_pos_as_xyz
'x,y,z'
loop_
_atom_site_label
_atom_site_fract_x
_atom_site_fract_y
_atom_site_fract_z
_atom_site_occupancy
Fe1 0.5000 0.5000 0.5000 1
Rb1 0.0000 0.5000 0.0000 1
Rb2 0.0000 0.0000 0.5000 1
Rb3 0.5000 0.0000 0.0000 1
Sb1 0.0000 0.0000 0.0000 1



[2]
# RbFe2Sb PBE optimized geometry
# Magnetic moment   11.2 μB per cell
# Energy relative to the elements, uncorrected   0.631 eV/atom
# E_tot   -0.3581 Ry per atom
# Space-group type   I4_1/amd, No. 141
# Volume   29.29 Å³ per atom
data_RbFe2Sb
_symmetry_space_group_name_H-M 'P 1'
_symmetry_Int_Tables_number 1
_cell_length_a 5.1121
_cell_length_b 5.1121
_cell_length_c 9.6683
_cell_angle_alpha 74.67
_cell_angle_beta 74.67
_cell_angle_gamma 90.00
loop_
_symmetry_equiv_pos_as_xyz
'x,y,z'
loop_
_atom_site_label
_atom_site_fract_x
_atom_site_fract_y
_atom_site_fract_z
_atom_site_occupancy
Rb1 0.2500 0.7500 0.5000 1
Rb2 0.5000 0.5000 0.0000 1
Fe1 0.3750 0.1250 0.7500 1
Fe2 0.8750 0.6250 0.2500 1
Fe3 0.8750 0.1250 0.7500 1
Fe4 0.8750 0.1250 0.2500 1
Sb1 0.0000 0.0000 0.0000 1
Sb2 0.7500 0.2500 0.5000 1



[3]
# Rb2FeSb2 PBE optimized geometry
# Magnetic moment   4.6 μB per cell
# Energy relative to the elements, uncorrected   -0.011 eV/atom
# E_tot   -0.2749 Ry per atom
# Space-group type   P4/mbm, No. 127
# Volume   31.05 Å³ per atom
data_Rb2FeSb2
_symmetry_space_group_name_H-M 'P 1'
_symmetry_Int_Tables_number 1
_cell_length_a 7.0690
_cell_length_b 7.0690
_cell_length_c 6.2131
_cell_angle_alpha 90.00
_cell_angle_beta 90.00
_cell_angle_gamma 90.00
loop_
_symmetry_equiv_pos_as_xyz
'x,y,z'
loop_
_atom_site_label
_atom_site_fract_x
_atom_site_fract_y
_atom_site_fract_z
_atom_site_occupancy
Rb1 0.6693 0.8307 0.5000 1
Rb2 0.8307 0.3307 0.5000 1
Rb3 0.3307 0.1693 0.5000 1
Rb4 0.1693 0.6693 0.5000 1
Fe1 0.0000 0.0000 0.0000 1
Fe2 0.5000 0.5000 0.0000 1
Sb1 0.3483 0.8483 0.0000 1
Sb2 0.6517 0.1517 0.0000 1
Sb3 0.8483 0.6517 0.0000 1
Sb4 0.1517 0.3483 0.0000 1



[4]
# RbFeSb2 PBE optimized geometry
# Magnetic moment   2.0 μB per cell
# Energy relative to the elements, uncorrected   0.091 eV/atom
# E_tot   -0.3180 Ry per atom
# Distance to the lowest polymorph of the same formula   0.0 meV per atom
# Space-group type   I4_1/amd, No. 141
# Volume   36.93 Å³ per atom
data_RbFeSb2
_symmetry_space_group_name_H-M 'P 1'
_symmetry_Int_Tables_number 1
_cell_length_a 6.4027
_cell_length_b 6.4027
_cell_length_c 8.5112
_cell_angle_alpha 67.91
_cell_angle_beta 67.91
_cell_angle_gamma 90.00
loop_
_symmetry_equiv_pos_as_xyz
'x,y,z'
loop_
_atom_site_label
_atom_site_fract_x
_atom_site_fract_y
_atom_site_fract_z
_atom_site_occupancy
Fe1 0.2500 0.7500 0.5000 1
Fe2 0.5000 0.5000 0.0000 1
Sb1 0.3754 0.6250 0.2500 1
Sb2 0.3746 0.1250 0.2500 1
Sb3 0.8750 0.6246 0.7500 1
Sb4 0.3750 0.6254 0.7500 1
Rb1 0.7500 0.2500 0.5000 1
Rb2 0.0000 0.0000 0.0000 1



[5]
# Rb2FeSb PBE optimized geometry
# Magnetic moment   6.0 μB per cell
# Energy relative to the elements, uncorrected   0.228 eV/atom
# E_tot   -0.2500 Ry per atom
# Space-group type   I-42d, No. 122
# Volume   56.65 Å³ per atom
data_Rb2FeSb
_symmetry_space_group_name_H-M 'P 1'
_symmetry_Int_Tables_number 1
_cell_length_a 13.4944
_cell_length_b 13.4944
_cell_length_c 9.8612
_cell_angle_alpha 46.83
_cell_angle_beta 46.83
_cell_angle_gamma 90.00
loop_
_symmetry_equiv_pos_as_xyz
'x,y,z'
loop_
_atom_site_label
_atom_site_fract_x
_atom_site_fract_y
_atom_site_fract_z
_atom_site_occupancy
Rb1 0.8750 0.6374 0.7500 1
Rb2 0.3750 0.6126 0.7500 1
Rb3 0.3626 0.6250 0.2500 1
Rb4 0.3874 0.1250 0.2500 1
Fe1 0.2500 0.7500 0.5000 1
Fe2 0.5000 0.5000 0.0000 1
Sb1 0.0000 0.0000 0.0000 1
Sb2 0.7500 0.2500 0.5000 1



[6]
# RbSr2FeSb PBE optimized geometry
# Magnetic moment   0.0 μB per cell
# Energy relative to the elements, uncorrected   0.335 eV/atom
# E_tot   -0.2240 Ry per atom
# Space-group type   P4/mmm, No. 123
# Volume   41.21 Å³ per atom
data_RbSr2FeSb
_symmetry_space_group_name_H-M 'P 1'
_symmetry_Int_Tables_number 1
_cell_length_a 6.5024
_cell_length_b 4.8730
_cell_length_c 6.5024
_cell_angle_alpha 90.00
_cell_angle_beta 90.00
_cell_angle_gamma 90.00
loop_
_symmetry_equiv_pos_as_xyz
'x,y,z'
loop_
_atom_site_label
_atom_site_fract_x
_atom_site_fract_y
_atom_site_fract_z
_atom_site_occupancy
Sr1 0.0000 0.0000 0.5000 1
Sr2 0.5000 0.0000 0.0000 1
Sb1 0.0000 0.0000 0.0000 1
Rb1 0.5000 0.5000 0.5000 1
Fe1 0.0000 0.5000 0.0000 1



[7]
# RbFeSbTe2 PBE optimized geometry
# Magnetic moment   3.9 μB per cell
# Energy relative to the elements, uncorrected   0.823 eV/atom
# E_tot   -0.2311 Ry per atom
# Distance to the lowest polymorph of the same formula   857.7 meV per atom
# Space-group type   P4/mmm, No. 123
# Volume   45.36 Å³ per atom
data_RbFeSbTe2
_symmetry_space_group_name_H-M 'P 1'
_symmetry_Int_Tables_number 1
_cell_length_a 5.8199
_cell_length_b 6.6959
_cell_length_c 5.8199
_cell_angle_alpha 90.00
_cell_angle_beta 90.00
_cell_angle_gamma 90.00
loop_
_symmetry_equiv_pos_as_xyz
'x,y,z'
loop_
_atom_site_label
_atom_site_fract_x
_atom_site_fract_y
_atom_site_fract_z
_atom_site_occupancy
Sb1 0.0000 0.0000 0.0000 1
Rb1 0.0000 0.5000 0.0000 1
Te1 0.0000 0.0000 0.5000 1
Te2 0.5000 0.0000 0.0000 1
Fe1 0.5000 0.5000 0.5000 1



[8]
# RbFeSbTe2 PBE optimized geometry
# Magnetic moment   2.8 μB per cell
# Energy relative to the elements, uncorrected   -0.035 eV/atom
# E_tot   -0.2942 Ry per atom
# Distance to the lowest polymorph of the same formula   0.0 meV per atom
# Space-group type   P4/mmm, No. 123
# Volume   30.63 Å³ per atom
data_RbFeSbTe2
_symmetry_space_group_name_H-M 'P 1'
_symmetry_Int_Tables_number 1
_cell_length_a 5.5028
_cell_length_b 5.5028
_cell_length_c 5.0580
_cell_angle_alpha 90.00
_cell_angle_beta 90.00
_cell_angle_gamma 90.00
loop_
_symmetry_equiv_pos_as_xyz
'x,y,z'
loop_
_atom_site_label
_atom_site_fract_x
_atom_site_fract_y
_atom_site_fract_z
_atom_site_occupancy
Rb1 0.5000 0.5000 0.5000 1
Te1 0.5000 0.0000 0.0000 1
Te2 0.0000 0.5000 0.0000 1
Sb1 0.0000 0.0000 0.5000 1
Fe1 0.0000 0.0000 0.0000 1